1.
# CrAgS3, optimized geometry, DFT GGA-PBEsol
data_CrAgS3
_space_group_name_H-M_alt 'P m -3 m'
_space_group_IT_number 221
_space_group_name_Hall '-P 4 2 3'
_cell_length_a 4.475
_cell_length_b 4.475
_cell_length_c 4.475
_cell_angle_alpha 90.00
_cell_angle_beta 90.00
_cell_angle_gamma 90.00
loop_
_atom_site_label
_atom_site_type_symbol
_atom_site_fract_x
_atom_site_fract_y
_atom_site_fract_z
Cr1 Cr 0.000 0.000 0.000
Ag1 Ag 0.500 0.500 0.500
S1 S 0.000 0.000 0.500
# - M_tot (μB per formula unit) = 1.49
# - volume (Å³/atom) = 17.93
# - calculated total energy (eV per atom) = -5.14

2.
# ScCrAg2S, optimized geometry, DFT GGA-PBEsol
data_ScCrAg2S
_space_group_name_H-M_alt 'P 4/m m m'
_space_group_IT_number 123
_space_group_name_Hall '-P 4 2'
_cell_length_a 5.092
_cell_length_b 5.092
_cell_length_c 4.619
_cell_angle_alpha 90.00
_cell_angle_beta 90.00
_cell_angle_gamma 90.00
loop_
_atom_site_label
_atom_site_type_symbol
_atom_site_fract_x
_atom_site_fract_y
_atom_site_fract_z
Sc1 Sc 0.000 0.000 0.000
Cr1 Cr 0.500 0.500 0.500
Ag1 Ag 0.000 0.500 0.000
S1 S 0.000 0.000 0.500
# - M_tot (μB per formula unit) = 4.52
# - volume (Å³/atom) = 23.95
# - calculated total energy (eV per atom) = -4.89

3.
# CrAgSnS4, optimized geometry, DFT GGA-PBEsol
data_CrAgSnS4
_space_group_name_H-M_alt 'I m m a'
_space_group_IT_number 74
_space_group_name_Hall '-I 2b 2'
_cell_length_a 7.180
_cell_length_b 7.453
_cell_length_c 10.360
_cell_angle_alpha 90.00
_cell_angle_beta 90.00
_cell_angle_gamma 90.00
loop_
_atom_site_label
_atom_site_type_symbol
_atom_site_fract_x
_atom_site_fract_y
_atom_site_fract_z
Cr1 Cr 0.250 0.250 0.250
Ag1 Ag 0.000 0.250 0.642
Sn1 Sn 0.000 0.000 0.000
S1 S 0.000 0.037 0.246
S2 S 0.245 0.250 0.019
# - M_tot (μB per formula unit) = 2.97
# - volume (Å³/atom) = 19.80
# - calculated total energy (eV per atom) = -5.54

4.
# TaCr3Ag2S8, optimized geometry, DFT GGA-PBEsol
data_TaCr3Ag2S8
_space_group_name_H-M_alt 'P 1 2/c 1'
_space_group_IT_number 13
_cell_length_a 6.832
_cell_length_b 5.883
_cell_length_c 13.459
_cell_angle_alpha 90.00
_cell_angle_beta 105.88
_cell_angle_gamma 90.00
loop_
_space_group_symop_operation_xyz
'x,y,z'
'-x,-y,-z'
'-x,y,-z+1/2'
'x,-y,z+1/2'
loop_
_atom_site_label
_atom_site_type_symbol
_atom_site_fract_x
_atom_site_fract_y
_atom_site_fract_z
Ta1 Ta 0.000 0.000 0.000
Cr1 Cr 0.247 0.499 0.000
Cr2 Cr 0.500 0.000 0.000
Ag1 Ag 0.000 0.429 0.250
Ag2 Ag 0.500 0.115 0.750
S1 S 0.064 0.339 0.608
S2 S 0.197 0.168 0.392
S3 S 0.312 0.169 0.107
S4 S 0.451 0.336 0.901
# - M_tot (μB per formula unit) = 9.00
# - volume (Å³/atom) = 18.58
# - calculated total energy (eV per atom) = -6.67
# - energy relative to the lowest polymorph listed for this composition (meV per atom) = 10.4

5.
# TaCr3Ag2S8, optimized geometry, DFT GGA-PBEsol
data_TaCr3Ag2S8
_space_group_name_H-M_alt 'P 1 2/m 1'
_space_group_IT_number 10
_cell_length_a 5.874
_cell_length_b 6.836
_cell_length_c 6.334
_cell_angle_alpha 90.00
_cell_angle_beta 94.92
_cell_angle_gamma 90.00
loop_
_space_group_symop_operation_xyz
'x,y,z'
'-x,-y,-z'
'-x,y,-z'
'x,-y,z'
loop_
_atom_site_label
_atom_site_type_symbol
_atom_site_fract_x
_atom_site_fract_y
_atom_site_fract_z
Ta1 Ta 0.000 0.000 0.000
Cr1 Cr 0.000 0.500 0.000
Cr2 Cr 0.500 0.249 0.000
Ag1 Ag 0.000 0.000 0.500
Ag2 Ag 0.000 0.500 0.500
S1 S 0.192 0.256 0.221
S2 S 0.318 0.500 0.798
S3 S 0.327 0.000 0.781
# - M_tot (μB per formula unit) = 8.82
# - volume (Å³/atom) = 18.10
# - calculated total energy (eV per atom) = -6.68
# - energy relative to the lowest polymorph listed for this composition (meV per atom) = 3.8

6.
# TaCr3Ag2S8, optimized geometry, DFT GGA-PBEsol
data_TaCr3Ag2S8
_space_group_name_H-M_alt 'P 1 m 1'
_space_group_IT_number 6
_cell_length_a 5.818
_cell_length_b 3.389
_cell_length_c 12.374
_cell_angle_alpha 90.00
_cell_angle_beta 91.20
_cell_angle_gamma 90.00
loop_
_space_group_symop_operation_xyz
'x,y,z'
'x,-y,z'
loop_
_atom_site_label
_atom_site_type_symbol
_atom_site_fract_x
_atom_site_fract_y
_atom_site_fract_z
Ta1 Ta 0.000 0.000 0.000
Cr1 Cr 0.046 0.000 0.491
Cr2 Cr 0.506 0.500 0.504
Cr3 Cr 0.578 0.500 0.995
Ag1 Ag 0.030 0.000 0.745
Ag2 Ag 0.519 0.500 0.251
S1 S 0.186 0.500 0.383
S2 S 0.220 0.500 0.894
S3 S 0.365 0.000 0.611
S4 S 0.389 0.000 0.097
S5 S 0.684 0.000 0.874
S6 S 0.688 0.000 0.399
S7 S 0.865 0.500 0.596
S8 S 0.880 0.500 0.126
# - M_tot (μB per formula unit) = 7.24
# - volume (Å³/atom) = 17.42
# - calculated total energy (eV per atom) = -6.68
# - energy relative to the lowest polymorph listed for this composition (meV per atom) = 0.0

7.
# CrAgSb, optimized geometry, DFT GGA-PBEsol
data_CrAgSb
_space_group_name_H-M_alt 'F -4 3 m'
_space_group_IT_number 216
_space_group_name_Hall 'F -4 2 3'
_cell_length_a 6.226
_cell_length_b 6.226
_cell_length_c 6.226
_cell_angle_alpha 90.00
_cell_angle_beta 90.00
_cell_angle_gamma 90.00
loop_
_atom_site_label
_atom_site_type_symbol
_atom_site_fract_x
_atom_site_fract_y
_atom_site_fract_z
Cr1 Cr 0.000 0.000 0.000
Ag1 Ag 0.250 0.250 0.250
Sb1 Sb 0.250 0.250 0.750
# - M_tot (μB per formula unit) = 3.11
# - volume (Å³/atom) = 20.11
# - calculated total energy (eV per atom) = -5.70
# - energy relative to the lowest polymorph listed for this composition (meV per atom) = 0.0

8.
# CrAg2Sb, optimized geometry, DFT GGA-PBEsol
data_CrAg2Sb
_space_group_name_H-M_alt 'I 4/m m m'
_space_group_IT_number 139
_space_group_name_Hall '-I 4 2'
_cell_length_a 3.972
_cell_length_b 3.972
_cell_length_c 9.044
_cell_angle_alpha 90.00
_cell_angle_beta 90.00
_cell_angle_gamma 90.00
loop_
_atom_site_label
_atom_site_type_symbol
_atom_site_fract_x
_atom_site_fract_y
_atom_site_fract_z
Cr1 Cr 0.000 0.000 0.000
Ag1 Ag 0.000 0.500 0.250
Sb1 Sb 0.000 0.000 0.500
# - M_tot (μB per formula unit) = 3.72
# - volume (Å³/atom) = 17.83
# - calculated total energy (eV per atom) = -5.12

9.
# CrAg2Sb, optimized geometry, DFT GGA-PBEsol
data_CrAg2Sb
_space_group_name_H-M_alt 'P 4/m m m'
_space_group_IT_number 123
_space_group_name_Hall '-P 4 2'
_cell_length_a 3.640
_cell_length_b 3.640
_cell_length_c 5.588
_cell_angle_alpha 90.00
_cell_angle_beta 90.00
_cell_angle_gamma 90.00
loop_
_atom_site_label
_atom_site_type_symbol
_atom_site_fract_x
_atom_site_fract_y
_atom_site_fract_z
Cr1 Cr 0.000 0.000 0.000
Ag1 Ag 0.500 0.500 0.239
Sb1 Sb 0.000 0.000 0.500
# - M_tot (μB per formula unit) = 3.91
# - volume (Å³/atom) = 18.51
# - calculated total energy (eV per atom) = -5.03

10.
# CrAgSb, optimized geometry, DFT GGA-PBEsol
data_CrAgSb
_space_group_name_H-M_alt 'I m m 2'
_space_group_IT_number 44
_cell_length_a 3.259
_cell_length_b 3.892
_cell_length_c 8.790
_cell_angle_alpha 90.00
_cell_angle_beta 90.00
_cell_angle_gamma 90.00
loop_
_space_group_symop_operation_xyz
'x,y,z'
'-x,-y,z'
'-x,y,z'
'x,-y,z'
'x+1/2,y+1/2,z+1/2'
'-x+1/2,-y+1/2,z+1/2'
'-x+1/2,y+1/2,z+1/2'
'x+1/2,-y+1/2,z+1/2'
loop_
_atom_site_label
_atom_site_type_symbol
_atom_site_fract_x
_atom_site_fract_y
_atom_site_fract_z
Cr1 Cr 0.000 0.000 0.000
Ag1 Ag 0.000 0.000 0.334
Sb1 Sb 0.000 0.000 0.653
# - M_tot (μB per formula unit) = 3.67
# - volume (Å³/atom) = 18.58
# - calculated total energy (eV per atom) = -5.65
# - energy relative to the lowest polymorph listed for this composition (meV per atom) = 51.7

11.
# CrAgSb2Te, optimized geometry, DFT GGA-PBEsol
data_CrAgSb2Te
_space_group_name_H-M_alt 'P 4/m m m'
_space_group_IT_number 123
_space_group_name_Hall '-P 4 2'
_cell_length_a 5.221
_cell_length_b 5.221
_cell_length_c 5.403
_cell_angle_alpha 90.00
_cell_angle_beta 90.00
_cell_angle_gamma 90.00
loop_
_atom_site_label
_atom_site_type_symbol
_atom_site_fract_x
_atom_site_fract_y
_atom_site_fract_z
Cr1 Cr 0.000 0.000 0.000
Ag1 Ag 0.500 0.500 0.500
Sb1 Sb 0.000 0.500 0.500
Te1 Te 0.500 0.500 0.000
# - M_tot (μB per formula unit) = 4.17
# - volume (Å³/atom) = 29.46
# - calculated total energy (eV per atom) = -4.24

12.
# Sc2CrAg, optimized geometry, DFT GGA-PBEsol
data_Sc2CrAg
_space_group_name_H-M_alt 'I -4 m 2'
_space_group_IT_number 119
_space_group_name_Hall 'I -4 -2'
_cell_length_a 4.022
_cell_length_b 4.022
_cell_length_c 9.166
_cell_angle_alpha 90.00
_cell_angle_beta 90.00
_cell_angle_gamma 90.00
loop_
_atom_site_label
_atom_site_type_symbol
_atom_site_fract_x
_atom_site_fract_y
_atom_site_fract_z
Sc1 Sc 0.000 0.000 0.000
Sc2 Sc 0.000 0.500 0.250
Cr1 Cr 0.000 0.500 0.750
Ag1 Ag 0.000 0.000 0.500
# - M_tot (μB per formula unit) = 2.88
# - volume (Å³/atom) = 18.54
# - formation energy from the elements (eV per atom) = 0.187
# - calculated total energy (eV per atom) = -6.50

13.
# ScCr2Ag, optimized geometry, DFT GGA-PBEsol
data_ScCr2Ag
_space_group_name_H-M_alt 'P m m m'
_space_group_IT_number 47
_cell_length_a 2.617
_cell_length_b 4.432
_cell_length_c 5.219
_cell_angle_alpha 90.00
_cell_angle_beta 90.00
_cell_angle_gamma 90.00
loop_
_space_group_symop_operation_xyz
'x,y,z'
'-x,-y,-z'
'-x,-y,z'
'x,y,-z'
'x,-y,-z'
'-x,y,z'
'-x,y,-z'
'x,-y,z'
loop_
_atom_site_label
_atom_site_type_symbol
_atom_site_fract_x
_atom_site_fract_y
_atom_site_fract_z
Sc1 Sc 0.000 0.000 0.000
Cr1 Cr 0.500 0.500 0.217
Ag1 Ag 0.000 0.000 0.500
# - M_tot (μB per formula unit) = 0.00
# - volume (Å³/atom) = 15.13
# - formation energy from the elements (eV per atom) = 0.612
# - calculated total energy (eV per atom) = -6.99

14.
# CrAg2Se, optimized geometry, DFT GGA-PBEsol
data_CrAg2Se
_space_group_name_H-M_alt 'P 4/m m m'
_space_group_IT_number 123
_space_group_name_Hall '-P 4 2'
_cell_length_a 3.814
_cell_length_b 3.814
_cell_length_c 4.710
_cell_angle_alpha 90.00
_cell_angle_beta 90.00
_cell_angle_gamma 90.00
loop_
_atom_site_label
_atom_site_type_symbol
_atom_site_fract_x
_atom_site_fract_y
_atom_site_fract_z
Cr1 Cr 0.000 0.000 0.000
Ag1 Ag 0.000 0.500 0.500
Se1 Se 0.500 0.500 0.000
# - M_tot (μB per formula unit) = 4.02
# - volume (Å³/atom) = 17.13
# - calculated total energy (eV per atom) = -4.99

15.
# CrAgSe, optimized geometry, DFT GGA-PBEsol
data_CrAgSe
_space_group_name_H-M_alt 'P 3 m 1'
_space_group_IT_number 156
_cell_length_a 3.3083
_cell_length_b 3.3083
_cell_length_c 5.8250
_cell_angle_alpha 90.00
_cell_angle_beta 90.00
_cell_angle_gamma 120.00
loop_
_space_group_symop_operation_xyz
'x,y,z'
'-y,x-y,z'
'-x+y,-x,z'
'-y,-x,z'
'-x+y,y,z'
'x,x-y,z'
loop_
_atom_site_label
_atom_site_type_symbol
_atom_site_fract_x
_atom_site_fract_y
_atom_site_fract_z
Cr1 Cr 0.0000 0.0000 0.0000
Ag1 Ag 0.6667 0.3333 0.3340
Se1 Se 0.3333 0.6667 0.7522
# - M_tot (μB per formula unit) = 2.99
# - volume (Å³/atom) = 18.40
# - calculated total energy (eV per atom) = -5.67

16.
# CrAg2Se, optimized geometry, DFT GGA-PBEsol
data_CrAg2Se
_space_group_name_H-M_alt 'C 1 2/m 1'
_space_group_IT_number 12
_cell_length_a 9.884
_cell_length_b 3.400
_cell_length_c 4.194
_cell_angle_alpha 90.00
_cell_angle_beta 97.81
_cell_angle_gamma 90.00
loop_
_space_group_symop_operation_xyz
'x,y,z'
'-x,-y,-z'
'-x,y,-z'
'x,-y,z'
'x+1/2,y+1/2,z'
'-x+1/2,-y+1/2,-z'
'-x+1/2,y+1/2,-z'
'x+1/2,-y+1/2,z'
loop_
_atom_site_label
_atom_site_type_symbol
_atom_site_fract_x
_atom_site_fract_y
_atom_site_fract_z
Cr1 Cr 0.000 0.000 0.000
Ag1 Ag 0.239 0.500 0.242
Se1 Se 0.000 0.500 0.500
# - M_tot (μB per formula unit) = 3.97
# - volume (Å³/atom) = 17.46
# - calculated total energy (eV per atom) = -4.96

17.
# CrAgSe3, optimized geometry, DFT GGA-PBEsol
data_CrAgSe3
_space_group_name_H-M_alt 'P m -3 m'
_space_group_IT_number 221
_space_group_name_Hall '-P 4 2 3'
_cell_length_a 4.736
_cell_length_b 4.736
_cell_length_c 4.736
_cell_angle_alpha 90.00
_cell_angle_beta 90.00
_cell_angle_gamma 90.00
loop_
_atom_site_label
_atom_site_type_symbol
_atom_site_fract_x
_atom_site_fract_y
_atom_site_fract_z
Cr1 Cr 0.000 0.000 0.000
Ag1 Ag 0.500 0.500 0.500
Se1 Se 0.000 0.000 0.500
# - M_tot (μB per formula unit) = 1.91
# - volume (Å³/atom) = 21.25
# - calculated total energy (eV per atom) = -4.72

18.
# CrSiAg2, optimized geometry, DFT GGA-PBEsol
data_CrSiAg2
_space_group_name_H-M_alt 'I -4 m 2'
_space_group_IT_number 119
_space_group_name_Hall 'I -4 -2'
_cell_length_a 4.430
_cell_length_b 4.430
_cell_length_c 6.176
_cell_angle_alpha 90.00
_cell_angle_beta 90.00
_cell_angle_gamma 90.00
loop_
_atom_site_label
_atom_site_type_symbol
_atom_site_fract_x
_atom_site_fract_y
_atom_site_fract_z
Cr1 Cr 0.000 0.000 0.000
Si1 Si 0.000 0.500 0.250
Ag1 Ag 0.000 0.000 0.500
Ag2 Ag 0.000 0.500 0.750
# - M_tot (μB per formula unit) = 3.31
# - volume (Å³/atom) = 15.15
# - calculated total energy (eV per atom) = -5.36

19.
# CrSiTcAg2, optimized geometry, DFT GGA-PBEsol
data_CrSiTcAg2
_space_group_name_H-M_alt 'P 4/m m m'
_space_group_IT_number 123
_space_group_name_Hall '-P 4 2'
_cell_length_a 4.957
_cell_length_b 4.957
_cell_length_c 4.421
_cell_angle_alpha 90.00
_cell_angle_beta 90.00
_cell_angle_gamma 90.00
loop_
_atom_site_label
_atom_site_type_symbol
_atom_site_fract_x
_atom_site_fract_y
_atom_site_fract_z
Cr1 Cr 0.000 0.000 0.000
Si1 Si 0.500 0.500 0.000
Tc1 Tc 0.500 0.500 0.500
Ag1 Ag 0.000 0.500 0.500
# - M_tot (μB per formula unit) = 4.06
# - volume (Å³/atom) = 21.73
# - calculated total energy (eV per atom) = -5.41

20.
# TaCrAg2Sn, optimized geometry, DFT GGA-PBEsol
data_TaCrAg2Sn
_space_group_name_H-M_alt 'P 4/m m m'
_space_group_IT_number 123
_space_group_name_Hall '-P 4 2'
_cell_length_a 4.847
_cell_length_b 4.847
_cell_length_c 4.374
_cell_angle_alpha 90.00
_cell_angle_beta 90.00
_cell_angle_gamma 90.00
loop_
_atom_site_label
_atom_site_type_symbol
_atom_site_fract_x
_atom_site_fract_y
_atom_site_fract_z
Ta1 Ta 0.000 0.000 0.000
Cr1 Cr 0.000 0.000 0.500
Ag1 Ag 0.000 0.500 0.500
Sn1 Sn 0.500 0.500 0.000
# - M_tot (μB per formula unit) = 0.00
# - volume (Å³/atom) = 20.55
# - formation energy from the elements (eV per atom) = 1.131
# - calculated total energy (eV per atom) = -5.60